[1]
VASP calculation (PBEsol) on crystalline MgMnBr2 at its relaxed geometry.

Output
- excess energy over the best structure of this formula in the dataset (kJ/mol of formula units) = 122.5
- total DFT energy (no corrections) (eV/atom) = -3.8041
- raw formation energy (kJ/mol of formula units) = 0

Lattice parameters (Å, degrees): 4.8789 4.8789 3.4326 90.00 90.00 90.00
Space group P4/mmm (No. 123)
Symmetry-distinct sites (fractional):
Mg  0.0000  0.0000  0.0000 (multiplicity 1)
Mn  0.5000  0.5000  0.0000 (multiplicity 1)
Br  0.0000  0.5000  0.5000 (multiplicity 2)

***

[2]
VASP calculation (PBEsol) on crystalline ScBe at its relaxed geometry.

Output
- total DFT energy (no corrections) (eV/atom) = -5.2666

Lattice parameters (Å, degrees): 3.0685 4.3676 9.1568 90.00 90.00 90.00
Space group Imma (No. 74)
Symmetry-distinct sites (fractional):
Sc  0.0000  0.2500  0.1057 (multiplicity 4)
Be  0.0000  0.2500  0.6678 (multiplicity 4)

***

[3]
VASP calculation (PBEsol) on crystalline CsMnF2 at its relaxed geometry.

Output
- total DFT energy (no corrections) (eV/atom) = -4.8209
- raw formation energy (kJ/mol of formula units) = -456

Lattice parameters (Å, degrees): 6.7101 6.7101 6.7101 90.00 90.00 90.00
Space group Fm-3m (No. 225)
Symmetry-distinct sites (fractional):
Cs  0.0000  0.0000  0.0000 (multiplicity 4)
Mn  0.0000  0.0000  0.5000 (multiplicity 4)
F  0.2500  0.2500  0.2500 (multiplicity 8)

***

[4]
VASP calculation (PBEsol) on crystalline CsTi3P5O19 at its relaxed geometry.

Output
- excess energy over the best structure of this formula in the dataset (kJ/mol of formula units) = 13.0
- total DFT energy (no corrections) (eV/atom) = -8.0725
- raw formation energy (kJ/mol of formula units) = -6892

Lattice parameters (Å, degrees): 11.0585 16.7570 8.8321 90.00 100.22 90.00
Space group Cc (No. 9)
Symmetry-distinct sites (fractional):
Cs  0.0000  0.0796  0.0000 (multiplicity 4)
Ti  0.1302  0.3910  0.8283 (multiplicity 4)
Ti  0.2352  0.2474  0.3362 (multiplicity 4)
Ti  0.3489  0.1106  0.8480 (multiplicity 4)
P  0.1144  0.2083  0.6561 (multiplicity 4)
P  0.1479  0.4264  0.4667 (multiplicity 4)
P  0.3299  0.0715  0.2095 (multiplicity 4)
P  0.3613  0.2919  0.0225 (multiplicity 4)
P  0.4879  0.2025  0.5862 (multiplicity 4)
O  0.0065  0.4250  0.4302 (multiplicity 4)
O  0.0696  0.3517  0.0054 (multiplicity 4)
O  0.0711  0.2417  0.2010 (multiplicity 4)
O  0.0856  0.2859  0.7282 (multiplicity 4)
O  0.1741  0.2173  0.5149 (multiplicity 4)
O  0.1809  0.1497  0.7732 (multiplicity 4)
O  0.1902  0.4921  0.9143 (multiplicity 4)
O  0.1921  0.4188  0.6408 (multiplicity 4)
O  0.2060  0.3602  0.3818 (multiplicity 4)
O  0.2691  0.1365  0.2946 (multiplicity 4)
O  0.2856  0.0810  0.0354 (multiplicity 4)
O  0.2877  0.0106  0.7589 (multiplicity 4)
O  0.2944  0.3515  0.9088 (multiplicity 4)
O  0.2996  0.2794  0.1612 (multiplicity 4)
O  0.3924  0.2156  0.9474 (multiplicity 4)
O  0.4031  0.2553  0.4679 (multiplicity 4)
O  0.4072  0.1496  0.6713 (multiplicity 4)
O  0.4708  0.0740  0.2468 (multiplicity 4)
O  0.4872  0.3373  0.0929 (multiplicity 4)

***

[5]
VASP calculation (PBEsol) on crystalline TePSeS2 at its relaxed geometry.

Output
- total DFT energy (no corrections) (eV/atom) = -3.6751
- raw formation energy (kJ/mol of formula units) = 344

Lattice parameters (Å, degrees): 4.6508 4.6508 4.8782 90.00 90.00 90.00
Space group P4/mmm (No. 123)
Symmetry-distinct sites (fractional):
Te  0.0000  0.0000  0.0000 (multiplicity 1)
P  0.5000  0.5000  0.0000 (multiplicity 1)
Se  0.5000  0.5000  0.5000 (multiplicity 1)
S  0.0000  0.5000  0.5000 (multiplicity 2)

***

[6]
VASP calculation (PBEsol) on crystalline Be2GaRh2 at its relaxed geometry.

Output
- excess energy over the best structure of this formula in the dataset (kJ/mol of formula units) = 88.3
- total DFT energy (no corrections) (eV/atom) = -5.9343

Lattice parameters (Å, degrees): 2.9794 2.9794 13.0439 90.00 90.00 90.00
Space group I4/mmm (No. 139)
Symmetry-distinct sites (fractional):
Be  0.0000  0.5000  0.2500 (multiplicity 4)
Ga  0.0000  0.0000  0.0000 (multiplicity 2)
Rh  0.0000  0.0000  0.3866 (multiplicity 4)

***

no.,ρ (g cm⁻³)
1,4.86
2,2.92
3,4.97
4,3.03
5,4.75
6,8.42